This record from the Alexandria database describes crystalline TaHgPb3 at its relaxed geometry. The functional is PBE-GGA.

a = 5.6010 Å, b = 5.6010 Å, c = 5.6010 Å
α = 90.00°, β = 90.00°, γ = 90.00°
Last column: nearest neighbours and their distance in Å.
Fractional positions:
1 Ta 0.0000 0.0000 0.0000  12 Pb 3.96
2 Hg 0.5000 0.5000 0.5000  6 Pb 2.80
3 Pb 0.0000 0.5000 0.5000  2 Hg 2.80
4 Pb 0.5000 0.0000 0.5000  2 Hg 2.80
5 Pb 0.5000 0.5000 0.0000  2 Hg 2.80

## Properties
- space group = No. 221
- distance to the lowest polymorph of the same formula (kJ/mol of atoms) = 99.0
- calculated formation energy (eV per atom) = 1.4338
- mass density (g cm⁻³) = 9.48


This record from the Alexandria database describes crystalline BC3 at its relaxed geometry. The functional is PBE-GGA.

a = 4.5429 Å, b = 2.5984 Å, c = 6.4703 Å
α = 90.00°, β = 91.05°, γ = 90.00°
Last column: nearest neighbours and their distance in Å.
Fractional positions:
1 B 0.0000 0.0000 0.0000  3 C 1.55-1.58
2 B 0.0120 0.0000 0.6448  3 C 1.53-1.54
3 B 0.5021 0.5000 0.7059  4 C 1.60-1.66
4 C 0.1766 0.5000 0.3599  4 C 1.57-1.61
5 C 0.1803 0.5000 0.6026  3 B 1.53-1.60, 1 C 1.57
6 C 0.3403 0.0000 0.2803  4 C 1.58-1.60
7 C 0.3444 0.0000 0.0355  3 C 1.57-1.58, 1 B 1.58
8 C 0.5017 0.5000 0.9581  3 C 1.54-1.57, 1 B 1.63
9 C 0.6727 0.0000 0.3665  4 C 1.54-1.60
10 C 0.6766 0.0000 0.6047  1 C 1.54, 3 B 1.54-1.66
11 C 0.8227 0.5000 0.0380  2 C 1.54-1.59, 2 B 1.55
12 C 0.8383 0.5000 0.2831  4 C 1.59-1.61

## Properties
- space group = No. 6
- distance to the lowest polymorph of the same formula (kJ/mol of atoms) = 9.3
- calculated formation energy (eV per atom) = 0.3375
- mass density (g cm⁻³) = 3.06


This record from the Alexandria database describes crystalline Pr2ScTe at its relaxed geometry. The functional is PBE-GGA.

a = 4.0776 Å, b = 4.0776 Å, c = 7.2979 Å
α = 90.00°, β = 90.00°, γ = 90.00°
Last column: nearest neighbours and their distance in Å.
Fractional positions:
1 Pr 0.0000 0.0000 0.2419  4 Te 3.38, 4 Sc 3.44, 2 Pr 3.53-3.77
2 Pr 0.0000 0.0000 0.7581  4 Te 3.38, 4 Sc 3.44, 2 Pr 3.53-3.77
3 Sc 0.5000 0.5000 0.5000  8 Pr 3.44, 2 Te 3.65
4 Te 0.5000 0.5000 0.0000  8 Pr 3.38, 2 Sc 3.65

## Properties
- space group = No. 123
- distance to the lowest polymorph of the same formula (kJ/mol of atoms) = 0.0
- mass density (g cm⁻³) = 6.22


Which value of distance to the lowest polymorph of the same formula does entry 3 give? 0.0 kJ/mol of atoms